Record 1
Compound: Co6Ni7
Source: OQMD
Functional: GGA-PBE
Structure: relaxed

Unit cell a=8.4916 b=8.4916 c=8.4916 alpha=31.21 beta=31.21 gamma=31.21
Closest atoms and distances in Å follow each position.
Atoms (fractional coordinates):
Co 0.0898 0.0898 0.5831  4 Co 2.25-2.31, 5 Ni 2.34-2.52
Co 0.9102 0.4169 0.9102  4 Co 2.25-2.31, 5 Ni 2.34-2.52
Co 0.5831 0.0898 0.0898  4 Co 2.25-2.31, 5 Ni 2.34-2.52
Co 0.9102 0.9102 0.4169  4 Co 2.25-2.31, 5 Ni 2.34-2.52
Co 0.4169 0.9102 0.9102  4 Co 2.25-2.31, 5 Ni 2.34-2.52
Co 0.0898 0.5831 0.0898  4 Co 2.25-2.31, 5 Ni 2.34-2.52
Ni 0.8351 0.8351 0.8351  6 Co 2.47-2.52, 3 Ni 2.64
Ni 0.4528 0.4528 0.4528  2 Ni 2.29-2.49, 6 Co 2.48
Ni 0.5472 0.5472 0.5472  2 Ni 2.29-2.49, 6 Co 2.48
Ni 0.3500 0.3500 0.3500  7 Ni 2.49-2.76, 9 Co 2.66-2.74
Ni 0.6500 0.6500 0.6500  7 Ni 2.49-2.76, 9 Co 2.66-2.74
Ni 0.1649 0.1649 0.1649  6 Co 2.47-2.52, 3 Ni 2.64
Ni 0.0000 0.0000 0.0000  6 Co 2.34

## Properties
- Mass density: 8.70 g cm⁻³
- E above lowest polymorph: 0.00 eV/f.u.
- Calculated formation energy: 0.14 eV per atom



Record 2
Compound: Fe2GeSb
Source: OQMD
Functional: GGA-PBE
Structure: relaxed

Unit cell a=6.1278 b=6.1278 c=6.1278 alpha=90.00 beta=90.00 gamma=90.00
Closest atoms and distances in Å follow each position.
Atoms (fractional coordinates):
Sb 0.5000 0.5000 0.5000  8 Fe 2.81, 6 Sb 3.06
Sb 0.0000 0.5000 0.5000  8 Fe 2.71
Sb 0.5000 0.5000 0.0000  8 Fe 2.71
Sb 0.5000 0.0000 0.5000  8 Fe 2.71
Fe 0.7647 0.2353 0.2353  4 Ge 2.50-2.61, 3 Sb 2.71
Fe 0.2353 0.7647 0.2353  4 Ge 2.50-2.61, 3 Sb 2.71
Fe 0.2353 0.7647 0.7647  4 Ge 2.50-2.61, 3 Sb 2.71
Fe 0.2353 0.2353 0.2353  4 Ge 2.50-2.61, 3 Sb 2.71
Fe 0.7647 0.7647 0.7647  4 Ge 2.50-2.61, 3 Sb 2.71
Fe 0.7647 0.2353 0.7647  4 Ge 2.50-2.61, 3 Sb 2.71
Fe 0.2353 0.2353 0.7647  4 Ge 2.50-2.61, 3 Sb 2.71
Fe 0.7647 0.7647 0.2353  4 Ge 2.50-2.61, 3 Sb 2.71
Ge 0.0000 0.0000 0.0000  8 Fe 2.50
Ge 0.5000 0.0000 0.0000  8 Fe 2.61
Ge 0.0000 0.5000 0.0000  8 Fe 2.61
Ge 0.0000 0.0000 0.5000  8 Fe 2.61

## Properties
- Mass density: 8.84 g cm⁻³
- Final energy: -6.092 eV/atom



Record 3
Compound: Sr2GaSn3Ir2
Source: OQMD
Functional: GGA-PBE
Structure: relaxed

Unit cell a=6.1721 b=6.1721 c=7.5763 alpha=90.01 beta=90.01 gamma=41.52
Closest atoms and distances in Å follow each position.
Atoms (fractional coordinates):
Sn 0.1556 0.1556 0.0472  3 Ir 2.78-2.79, 1 Sn 3.05
Sn 0.1527 0.1527 0.4492  3 Ir 2.72-2.76, 1 Sn 3.05
Sn 0.8519 0.8519 0.9441  3 Ir 2.77-2.78, 1 Ga 2.96
Ga 0.8325 0.8325 0.5543  3 Ir 2.64-2.65
Sr 0.5617 0.5617 0.7469  3 Ir 3.14-3.42, 4 Sn 3.31-3.34, 1 Ga 3.45
Sr 0.4362 0.4362 0.2659  3 Ir 3.27-3.32, 2 Ga 3.32, 6 Sn 3.42-3.64
Ir 0.7195 0.7195 0.2509  1 Ga 2.64, 5 Sn 2.76-2.78
Ir 0.2899 0.2899 0.7415  2 Ga 2.65, 4 Sn 2.72-2.79

## Properties
- Mass density: 8.55 g cm⁻³
- Final energy: -5.061 eV/atom



Record 4
Compound: NdSnAsO
Source: OQMD
Functional: GGA-PBE
Structure: relaxed

Unit cell a=5.7116 b=5.7116 c=5.3786 alpha=90.00 beta=90.00 gamma=90.00
Closest atoms and distances in Å follow each position.
Atoms (fractional coordinates):
Sn 0.7500 0.7500 0.9967  2 As 2.68-2.70, 4 O 2.86
Sn 0.2500 0.2500 0.0033  2 As 2.68-2.70, 4 O 2.86
O 0.7500 0.2500 0.0000  2 Nd 2.69, 4 Sn 2.86
O 0.2500 0.7500 0.0000  2 Nd 2.69, 4 Sn 2.86
As 0.7500 0.7500 0.4956  2 Sn 2.68-2.70, 4 Nd 2.86
As 0.2500 0.2500 0.5044  2 Sn 2.68-2.70, 4 Nd 2.86
Nd 0.2500 0.7500 0.5000  2 O 2.69, 4 As 2.86
Nd 0.7500 0.2500 0.5000  2 O 2.69, 4 As 2.86

## Properties
- Mass density: 6.70 g cm⁻³
- E above lowest polymorph: 1.71 eV/f.u.



Record 5
Compound: FeCuBTe
Source: OQMD
Functional: GGA-PBE
Structure: relaxed

Unit cell a=4.2191 b=4.2191 c=4.2191 alpha=60.00 beta=60.00 gamma=60.00
Closest atoms and distances in Å follow each position.
Atoms (fractional coordinates):
B 0.0000 0.0000 0.0000  4 Cu 2.58, 4 Fe 2.58
Fe 0.2500 0.2500 0.2500  4 Te 2.58, 4 B 2.58
Cu 0.7500 0.7500 0.7500  4 Te 2.58, 4 B 2.58
Te 0.5000 0.5000 0.5000  4 Fe 2.58, 4 Cu 2.58

## Properties
- Mass density: 8.06 g cm⁻³
- E above lowest polymorph: 0.00 eV/f.u.



Record 6
Compound: Sm3Mg3Hg2Au
Source: OQMD
Functional: GGA-PBE
Structure: relaxed

Unit cell a=7.8105 b=7.8105 c=4.2682 alpha=90.00 beta=90.00 gamma=120.00
Closest atoms and distances in Å follow each position.
Atoms (fractional coordinates):
Sm 0.0000 0.5949 0.0000  1 Au 3.16, 4 Hg 3.19, 6 Mg 3.49-3.50
Sm 0.5949 0.0000 0.0000  1 Au 3.16, 4 Hg 3.19, 6 Mg 3.49-3.50
Sm 0.4051 0.4051 0.0000  1 Au 3.16, 4 Hg 3.19, 6 Mg 3.49-3.50
Hg 0.3333 0.6667 0.5000  3 Mg 3.04, 6 Sm 3.19
Hg 0.6667 0.3333 0.5000  3 Mg 3.04, 6 Sm 3.19
Au 0.0000 0.0000 0.0000  6 Mg 2.84, 3 Sm 3.16
Mg 0.7605 0.7605 0.5000  2 Au 2.84, 2 Hg 3.04
Mg 0.2395 0.0000 0.5000  2 Au 2.84, 2 Hg 3.04
Mg 0.0000 0.2395 0.5000  2 Au 2.84, 2 Hg 3.04

## Properties
- Mass density: 8.26 g cm⁻³
- Final energy: -3.008 eV/atom



Record 7
Compound: LuCdFeGe
Source: OQMD
Functional: GGA-PBE
Structure: relaxed

Unit cell a=4.7138 b=4.7138 c=4.7138 alpha=60.00 beta=60.00 gamma=60.00
Closest atoms and distances in Å follow each position.
Atoms (fractional coordinates):
Ge 0.0000 0.0000 0.0000  4 Cd 2.89, 4 Fe 2.89
Lu 0.5000 0.5000 0.5000  4 Cd 2.89, 4 Fe 2.89
Fe 0.7500 0.7500 0.7500  4 Lu 2.89, 4 Ge 2.89
Cd 0.2500 0.2500 0.2500  4 Lu 2.89, 4 Ge 2.89

## Properties
- Mass density: 9.32 g cm⁻³
- E above lowest polymorph: 0.63 eV/f.u.



Record 8
Compound: Li4PaAuO6
Source: OQMD
Functional: GGA-PBE
Structure: relaxed

Unit cell a=5.4443 b=5.4443 c=5.2972 alpha=98.92 beta=98.92 gamma=120.67
Closest atoms and distances in Å follow each position.
Atoms (fractional coordinates):
O 0.0916 0.4248 0.7430  4 Li 2.07-2.24, 1 Pa 2.22, 1 Au 2.23
O 0.4166 0.0948 0.7486  3 Li 2.13-2.36, 1 Pa 2.20, 1 Au 2.25
O 0.9052 0.5834 0.2514  3 Li 2.13-2.36, 1 Pa 2.20, 1 Au 2.25
O 0.2555 0.2501 0.2526  4 Li 2.02-2.18, 1 Pa 2.22, 1 Au 2.26
O 0.7499 0.7445 0.7474  4 Li 2.02-2.18, 1 Pa 2.22, 1 Au 2.26
O 0.5752 0.9084 0.2570  4 Li 2.07-2.24, 1 Pa 2.22, 1 Au 2.23
Li 0.9756 0.0244 0.5000  4 O 2.07-2.18
Li 0.5012 0.4988 0.0000  6 O 2.16-2.23
Li 0.3652 0.6348 0.5000  4 O 2.02-2.12
Li 0.6646 0.3354 0.5000  6 O 2.13-2.24
Au 0.8328 0.1672 0.0000  6 O 2.23-2.26
Pa 0.1668 0.8332 0.0000  6 O 2.20-2.22

## Properties
- Mass density: 7.14 g cm⁻³
- Final energy: -5.929 eV/atom



Please write out number 3 again, unchanged.
Compound: Sr2GaSn3Ir2
Source: OQMD
Functional: GGA-PBE
Structure: relaxed

Unit cell a=6.1721 b=6.1721 c=7.5763 alpha=90.01 beta=90.01 gamma=41.52
Closest atoms and distances in Å follow each position.
Atoms (fractional coordinates):
Sn 0.1556 0.1556 0.0472  3 Ir 2.78-2.79, 1 Sn 3.05
Sn 0.1527 0.1527 0.4492  3 Ir 2.72-2.76, 1 Sn 3.05
Sn 0.8519 0.8519 0.9441  3 Ir 2.77-2.78, 1 Ga 2.96
Ga 0.8325 0.8325 0.5543  3 Ir 2.64-2.65
Sr 0.5617 0.5617 0.7469  3 Ir 3.14-3.42, 4 Sn 3.31-3.34, 1 Ga 3.45
Sr 0.4362 0.4362 0.2659  3 Ir 3.27-3.32, 2 Ga 3.32, 6 Sn 3.42-3.64
Ir 0.7195 0.7195 0.2509  1 Ga 2.64, 5 Sn 2.76-2.78
Ir 0.2899 0.2899 0.7415  2 Ga 2.65, 4 Sn 2.72-2.79

## Properties
- Mass density: 8.55 g cm⁻³
- Final energy: -5.061 eV/atom



Question: Which formula does entry 2 have?
Answer: Fe2GeSb